## Rb4Pu3TaSe8 (PBE-GGA)

Data for Rb4Pu3TaSe8 after structural relaxation.

```
16
Lattice="-5.600 -1.499 6.049 -2.192 -8.136 -4.046 8.064 1.170 1.954" Properties=species:S:1:pos:R:3 pbc="T T T"
Rb 1.232 -0.164 4.001
Pu -3.896 -4.817 1.001
Se -4.838 -3.657 3.532
Ta -1.096 -4.068 -2.023
Se 0.779 -5.435 -0.625
Se 5.109 -4.807 0.424
Se -0.508 -3.029 4.582
Se -1.878 -6.250 2.515
Rb -2.800 -0.749 3.024
Se 2.103 -5.611 3.672
Rb 0.000 0.000 0.000
Rb 4.032 0.585 0.977
Pu 2.936 -3.483 -1.046
Se -1.831 -2.853 0.285
Se 2.150 -2.214 1.442
Pu 0.136 -4.232 1.978
```

Summary:
Formation energy (no corrections), meV/atom: -1260
Final energy, eV/atom: -6.67
Size of the total moment, Bohr magnetons per cell: 17.00